An optimized crystal structure of K2Cd2PbSe4. Source: the Alexandria database, functional PBE.

Unit cell a=8.585 b=8.585 c=8.106 alpha=108.94 beta=108.94 gamma=29.63
Positions (direct):
K: 0.122 0.122 0.042
K: 0.878 0.878 0.958
Cd: 0.330 0.330 0.517
Cd: 0.670 0.670 0.483
Pb: 0.000 0.000 0.500
Se: 0.209 0.209 0.695
Se: 0.481 0.481 0.757
Se: 0.519 0.519 0.243
Se: 0.791 0.791 0.305

Output
For the calculated density, the calculation gives 4.93 Mg/m³. The formation energy without anion corrections is -814.1 meV per atom.



An optimized crystal structure of Dy2Tm3Tc2. Source: the Alexandria database, functional PBE.

Unit cell a=6.097 b=6.097 c=8.297 alpha=110.71 beta=110.71 gamma=38.07
Positions (direct):
Dy: 0.163 0.163 0.313
Dy: 0.837 0.837 0.687
Tm: 0.374 0.374 0.071
Tm: 0.500 0.500 0.500
Tm: 0.626 0.626 0.929
Tc: 0.169 0.169 0.712
Tc: 0.831 0.831 0.288

Output
The value obtained for the density of states at the Fermi level is 5.06 states/eV per cell. For the calculated density, the calculation gives 9.68 Mg/m³. The calculation puts the formation energy at -0.098 eV per atom.



An optimized crystal structure of AcSi2Tc. Source: the Alexandria database, functional PBE.

Unit cell a=6.025 b=6.025 c=6.025 alpha=40.89 beta=40.89 gamma=40.89
Positions (direct):
Ac: 0.000 0.000 0.000
Si: 0.203 0.203 0.203
Si: 0.797 0.797 0.797
Tc: 0.500 0.500 0.500

Output
The value obtained for the density of states at the Fermi level is 3.02 states/eV per cell. For the calculated density, the calculation gives 7.48 Mg/m³. The formation energy without anion corrections is -481.3 meV per atom. The energy above the most stable polymorph in this dataset is 0.059 eV/atom.



An optimized crystal structure of SrDyBi. Source: the Alexandria database, functional PBE.

Unit cell a=3.915 b=3.915 c=14.248 alpha=90.00 beta=90.00 gamma=90.92
Positions (direct):
Sr: 0.000 0.000 0.158
Sr: 0.000 0.000 0.842
Dy: 0.500 0.500 0.375
Dy: 0.500 0.500 0.625
Bi: 0.000 0.000 0.500
Bi: 0.500 0.500 0.000

Output
The value obtained for the density of states at the Fermi level is 6.26 states/eV per cell. For the calculated density, the calculation gives 6.98 Mg/m³. The calculation puts the formation energy at -0.378 eV per atom.



An optimized crystal structure of SrLa5In6. Source: the Alexandria database, functional PBE.

Unit cell a=9.753 b=9.753 c=5.612 alpha=106.60 beta=106.60 gamma=47.87
Positions (direct):
Sr: 0.000 0.000 0.000
La: 0.161 0.161 0.661
La: 0.330 0.330 0.330
La: 0.500 0.500 0.000
La: 0.670 0.670 0.670
La: 0.839 0.839 0.339
In: 0.086 0.579 0.833
In: 0.258 0.742 0.500
In: 0.421 0.914 0.167
In: 0.579 0.086 0.833
In: 0.742 0.258 0.500
In: 0.914 0.421 0.167

Output
The value obtained for the density of states at the Fermi level is 9.70 states/eV per cell. For the calculated density, the calculation gives 6.50 Mg/m³. The calculation puts the formation energy at -0.493 eV per atom.



An optimized crystal structure of NaNiAs. Source: the Alexandria database, functional PBE.

Unit cell a=4.463 b=4.539 c=5.594 alpha=100.91 beta=90.09 gamma=90.00
Positions (direct):
Na: 0.250 0.241 0.009
Na: 0.750 0.759 0.991
Ni: 0.250 0.353 0.525
Ni: 0.750 0.647 0.475
As: 0.249 0.812 0.390
As: 0.751 0.188 0.610

Output
The value obtained for the density of states at the Fermi level is 1.05 states/eV per cell. For the calculated density, the calculation gives 4.67 Mg/m³. The calculation puts the formation energy at -0.267 eV per atom.